Sc2Hg2S | GGA-PBE | optimized geometry

a b c (Å): 3.601 3.593 9.752
angles (deg): 90.13 79.36 59.93
Fractional coordinates of all 5 atoms:
S (0.000, 0.500, 0.500)
Sc (0.771, 0.113, 0.345)
Hg (0.587, 0.706, 0.120)
Hg (0.413, 0.294, 0.880)
Sc (0.229, 0.887, 0.655)

## Properties
Mass density ... 8.15 g cm⁻³
Energy above the lowest structure with this stoichiometry ... 0 meV/atom
Crystal system ... monoclinic
Calculated volume ... 21.32 Å³/atom
E_form (uncorrected) ... -0.92 eV/atom
M_tot ... 0.00 μB per cell